No. 1
DFT (PBE-GGA) results for an optimized crystal structure of CeP2Pd.

Cell: 4.064 4.064 18.951 Å, 90.00 90.00 90.00°
Each line ends with the local moment (μB).
Atoms (fractional coordinates):
Ce 0.500 0.017 0.330  0.17
Ce 0.983 0.500 0.580  0.17
Ce 0.017 0.500 0.080  0.17
Ce 0.500 0.983 0.830  0.17
P 0.485 0.065 0.637  -0.01
P 0.935 0.485 0.887  -0.01
P 0.065 0.515 0.387  -0.01
P 0.515 0.935 0.137  -0.01
P 0.485 0.936 0.523  -0.01
P 0.064 0.485 0.773  -0.01
P 0.936 0.515 0.273  -0.01
P 0.515 0.064 0.023  -0.01
Pd 0.021 0.979 0.955  -0.01
Pd 0.021 0.021 0.205  -0.01
Pd 0.979 0.979 0.705  -0.01
Pd 0.979 0.021 0.455  -0.01

The value obtained for the formation energy is -1.00 eV per atom. Its uncorrected energy is -103.79 eV for the cell shown. The space group is P4_122, No. 91. For the volume, the calculation gives 19.56 A^3/atom.


No. 2
DFT (PBE-GGA) results for an optimized crystal structure of Ce2PPd3.

Cell: 5.717 5.717 8.820 Å, 112.49 112.49 79.61°
Each line ends with the local moment (μB).
Atoms (fractional coordinates):
Ce 0.750 0.250 0.500  0.51
Ce 0.755 0.245 0.000  0.56
Ce 0.250 0.750 0.500  0.51
Ce 0.245 0.755 0.000  0.56
P 0.666 0.666 0.332  -0.02
P 0.334 0.334 0.668  -0.02
Pd 0.824 0.824 0.175  -0.02
Pd 0.649 0.649 0.825  -0.02
Pd 0.176 0.176 0.825  -0.02
Pd 0.351 0.351 0.175  -0.02
Pd 0.177 0.177 0.353  -0.02
Pd 0.823 0.823 0.647  -0.02

The value obtained for the formation energy is -0.90 eV per atom. Its uncorrected energy is -76.48 eV for the cell shown. The space group is Fmmm, No. 69. For the volume, the calculation gives 20.49 A^3/atom.